LiLuTlPd after structural relaxation, computed with PBE.

## Properties
DOS(E_F) ... 3.54 states/eV per cell
VASP energy ... -3.993 eV per atom
Spin magnetization ... 0.0 μB per formula unit
E_form ... -0.49 eV per atom

```
data_LiLuTlPd
_chemical_formula_sum 'Li1 Lu1 Tl1 Pd1'
_space_group_name_H-M_alt 'P 1'
_space_group_IT_number 1
_cell_length_a 4.777
_cell_length_b 4.777
_cell_length_c 4.777
_cell_angle_alpha 60.00
_cell_angle_beta 60.00
_cell_angle_gamma 60.00
loop_
_space_group_symop_operation_xyz
'x,y,z'
loop_
_atom_site_label
_atom_site_type_symbol
_atom_site_fract_x
_atom_site_fract_y
_atom_site_fract_z
_atom_site_occupancy
Pd1 Pd 0.750 0.750 0.750 1
Lu1 Lu 0.000 0.000 0.000 1
Li1 Li 0.250 0.250 0.250 1
Tl1 Tl 0.500 0.500 0.500 1
```